Entry from Alexandria via LeMat-Bulk: a relaxed KTc2Au crystal (PBE-GGA).

Lattice parameters (Å, degrees): 2.681 5.098 5.522 90.00 90.00 90.00
Fractional coordinates of all 4 atoms:
K: 0.000 0.000 0.000
Tc: 0.000 0.500 0.500
Tc: 0.500 0.000 0.500
Au: 0.500 0.500 0.000

Summary:
calculated density = 9.508 g/cm3
calculated total energy = -5.214 eV/atom
N(E_F) = 1.182 states/eV per atom
size of the total moment = 0.98 μB/f.u.